DyGa6Ge PBE-GGA relaxed; SG = C2/m (12); magnetization = 0.0 μB per formula unit; energy of formation from the pure elements = -0.066 eV/atom; energy = -3.49 eV per atom
1.0
8.286 0.000 0.000
0.000 7.884 0.000
-0.193 0.000 5.403
Dy Ga Ge
2 12 2
direct
0.000 0.000 0.000
0.500 0.500 0.000
0.158 0.000 0.511
0.196 0.281 0.769
0.196 0.719 0.769
0.304 0.219 0.231
0.304 0.781 0.231
0.342 0.500 0.489
0.658 0.500 0.511
0.696 0.219 0.769
0.696 0.781 0.769
0.804 0.281 0.231
0.804 0.719 0.231
0.842 0.000 0.489
0.000 0.500 0.500
0.500 0.000 0.500

---

In2AsBr PBE-GGA relaxed; SG = Immm (71); magnetization = 0.0 μB per formula unit; ΔE to the lowest computed polymorph = 128 kJ/mol of formula units; energy = -2.90 eV per atom; uncorrected formation energy = 0.19 eV/f.u.
1.0
3.473 0.000 0.000
0.000 5.106 0.000
0.000 0.000 12.122
In As Br
4 2 2
direct
0.000 0.000 0.198
0.000 0.000 0.802
0.500 0.500 0.302
0.500 0.500 0.698
0.000 0.500 0.500
0.500 0.000 0.000
0.000 0.500 0.000
0.500 0.000 0.500